No. 1
Pu3MgH | PBE | relaxed

Fermi-level density of states ... 16.109 states/eV/cell
DFT total energy ... -47.8 eV for the cell shown

abc: 4.8329 4.8329 4.8329
angles: 90.00 90.00 90.00
With the nearest neighbours (Å) after each atom.
Space group Pm-3m (No. 221)
Symmetry-distinct sites (fractional):
Pu  0.0000  0.0000  0.5000 x3  2 H 2.42
Mg  0.5000  0.5000  0.5000 x1  12 Pu 3.42
H  0.0000  0.0000  0.0000 x1  6 Pu 2.42



No. 2
Pu2MgH12Rh3 | PBE | relaxed

Fermi-level density of states ... 60.287 states/eV/cell
DFT total energy ... -291.0 eV for the cell shown

abc: 6.3522 6.3522 13.9028
angles: 90.00 90.00 120.00
With the nearest neighbours (Å) after each atom.
Space group R-3m (No. 166, hexagonal axes)
Symmetry-distinct sites (fractional):
Pu  0.0000  0.0000  0.1114 x6  3 H 2.25
Mg  0.0000  0.0000  0.5000 x3  6 H 2.01-2.02
H  0.0138  0.5069  0.8796 x18  1 Rh 1.68
H  0.0313  0.5156  0.3331 x18  2 Rh 1.75
Rh  0.0000  0.5000  0.0000 x9  6 H 1.68-1.75



No. 3
PuMgH6Rh2 | PBE | relaxed

Fermi-level density of states ... 40.692 states/eV/cell
DFT total energy ... -161.1 eV for the cell shown

abc: 4.5731 4.5731 15.4471
angles: 90.00 90.00 120.00
With the nearest neighbours (Å) after each atom.
Space group R-3m (No. 166, hexagonal axes)
Symmetry-distinct sites (fractional):
Pu  0.0000  0.0000  0.0000 x3  12 H 2.47
Mg  0.0000  0.0000  0.5000 x3  6 H 2.12
H  0.0011  0.5006  0.9403 x18  1 Rh 1.66, 1 H 1.85
Rh  0.0000  0.0000  0.2082 x6  3 H 1.66



No. 4
PuMg2H8Ru | PBE | relaxed

Fermi-level density of states ... 11.838 states/eV/cell
DFT total energy ... -57.3 eV for the cell shown

abc: 4.4953 4.4953 6.4229
angles: 90.00 90.00 120.00
With the nearest neighbours (Å) after each atom.
Space group P-3m1 (No. 164)
Symmetry-distinct sites (fractional):
Pu  0.0000  0.0000  0.0000 x1  12 H 2.49-2.62
Mg  0.3333  0.6667  0.3595 x2  1 H 1.95
H  0.1685  0.3369  0.6696 x6  1 Ru 1.71
H  0.3333  0.6667  0.0552 x2  1 Mg 1.95
Ru  0.0000  0.0000  0.5000 x1  6 H 1.71



No. 5
PuMgSbH | PBE | relaxed

Fermi-level density of states ... 18.294 states/eV/cell
DFT total energy ... -50.6 eV for the cell shown

abc: 4.3411 4.3411 8.3493
angles: 90.00 90.00 90.00
With the nearest neighbours (Å) after each atom.
Space group P4/nmm (No. 129, origin choice 2)
Symmetry-distinct sites (fractional):
Pu  0.2500  0.2500  0.1176 x2  4 H 2.38
Mg  0.2500  0.7500  0.5000 x2  4 Sb 2.89, 4 Mg 3.07
Sb  0.2500  0.2500  0.7285 x2  4 Mg 2.89, 4 H 3.14
H  0.2500  0.7500  0.0000 x2  4 Pu 2.38



No. 6
Pu2MgSnH | PBE | relaxed

Fermi-level density of states ... 12.878 states/eV/cell
DFT total energy ... -39.1 eV for the cell shown

abc: 4.6146 4.6146 4.7951
angles: 90.00 90.00 90.00
With the nearest neighbours (Å) after each atom.
Space group P4/mmm (No. 123)
Symmetry-distinct sites (fractional):
Pu  0.0000  0.5000  0.0000 x2  2 H 2.31
Mg  0.0000  0.0000  0.5000 x1  2 H 2.40
Sn  0.5000  0.5000  0.5000 x1  4 Mg 3.26, 8 Pu 3.33
H  0.0000  0.0000  0.0000 x1  4 Pu 2.31, 2 Mg 2.40



No. 7
Pu2MgTcH6 | PBE | relaxed

Fermi-level density of states ... 38.566 states/eV/cell
DFT total energy ... -125.0 eV for the cell shown

abc: 5.3297 5.3297 7.5625
angles: 90.00 90.00 90.00
With the nearest neighbours (Å) after each atom.
Space group I4/mmm (No. 139)
Symmetry-distinct sites (fractional):
Pu  0.0000  0.5000  0.2500 x4  12 H 2.67
Mg  0.0000  0.0000  0.0000 x2  6 H 1.97-1.98
Tc  0.0000  0.0000  0.5000 x2  6 H 1.80
H  0.0000  0.0000  0.2618 x4  1 Tc 1.80, 1 Mg 1.98
H  0.2386  0.2386  0.5000 x8  1 Tc 1.80, 1 Mg 1.97



No. 8
Rb3MgH | PBE | relaxed

Fermi-level density of states ... 4.066 states/eV/cell
DFT total energy ... -7.3 eV for the cell shown

abc: 6.0601 6.0601 6.0601
angles: 90.00 90.00 90.00
With the nearest neighbours (Å) after each atom.
Space group Pm-3m (No. 221)
Symmetry-distinct sites (fractional):
Rb  0.0000  0.0000  0.5000 x3  2 H 3.03
Mg  0.5000  0.5000  0.5000 x1  12 Rb 4.29
H  0.0000  0.0000  0.0000 x1  6 Rb 3.03



No. 9
Rb3MgH6 | PBE | relaxed

Fermi-level density of states ... 5.248 states/eV/cell
DFT total energy ... -98.5 eV for the cell shown

abc: 12.2831 16.4170 3.9870
angles: 90.00 90.00 90.00
With the nearest neighbours (Å) after each atom.
Space group Cmc2_1 (No. 36)
Symmetry-distinct sites (fractional):
Rb  0.0000  0.1103  0.9998 x4  9 H 2.78-3.10
Rb  0.1856  0.3764  0.0000 x8  6 H 2.76-3.04
Mg  0.0000  0.2781  0.4998 x4  5 H 1.86-1.99
H  0.0000  0.2798  0.0000 x4  2 Mg 1.99
H  0.0000  0.3929  0.4999 x4  1 Mg 1.89
H  0.1286  0.2178  0.4998 x8  1 Mg 1.86
H  0.1682  0.0000  0.2511 x8  2 H 1.99



No. 10
Rb2MgH4 | PBE | relaxed

Fermi-level density of states ... 0.000 states/eV/cell
DFT total energy ... -36.7 eV for the cell shown

abc: 5.8744 6.2813 8.1439
angles: 90.00 108.09 90.00
With the nearest neighbours (Å) after each atom.
Space group P2_1/m (No. 11)
Symmetry-distinct sites (fractional):
Rb  0.1434  0.2500  0.1172 x2  6 H 2.84-3.18
Rb  0.1950  0.7500  0.4970 x2  5 H 2.80-2.95
Mg  0.3970  0.2500  0.7519 x2  4 H 1.83-1.92
H  0.2370  0.0151  0.7988 x4  1 Mg 1.85
H  0.2749  0.7500  0.1752 x2  1 Mg 1.83
H  0.3076  0.2500  0.5043 x2  1 Mg 1.92



No. 11
RbMgH2 | PBE | relaxed

Fermi-level density of states ... 0.393 states/eV/cell
Relative energy among the computed polymorphs ... 0.021 eV/atom

abc: 5.3202 4.9733 12.2256
angles: 90.00 102.22 90.00
With the nearest neighbours (Å) after each atom.
Space group Cm (No. 8)
Symmetry-distinct sites (fractional):
Rb  0.0000  0.0000  0.0000 x2  6 H 2.84-3.11
Rb  0.1617  0.0000  0.2983 x2  4 H 3.01-3.18
Mg  0.2901  0.5000  0.5557 x2  4 H 2.30-2.33
Mg  0.3721  0.0000  0.7321 x2  5 H 1.84-1.94
H  0.0869  0.5000  0.1560 x2  8 Rb 3.01-3.30, 1 H 3.23
H  0.0935  0.2493  0.6754 x4  2 Mg 1.94
H  0.4454  0.0000  0.8858 x2  1 Mg 1.84



No. 12
Rb4Mg3H10 | PBE | relaxed

Fermi-level density of states ... 0.000 states/eV/cell
Relative energy among the computed polymorphs ... 0.000 eV/atom

abc: 5.9965 14.0724 13.4149
angles: 90.00 90.00 90.00
With the nearest neighbours (Å) after each atom.
Space group Cmce (No. 64)
Symmetry-distinct sites (fractional):
Rb  0.0000  0.0403  0.1396 x8  10 H 2.83-3.05
Rb  0.0000  0.2424  0.3941 x8  9 H 2.95-3.18
Mg  0.0000  0.0000  0.5000 x4  6 H 1.97-1.98
Mg  0.0000  0.1242  0.6560 x8  5 H 1.89-2.07
H  0.0000  0.0261  0.3551 x8  2 Mg 1.98-2.12
H  0.0000  0.2416  0.1467 x8  1 Mg 1.89
H  0.2153  0.0995  0.5384 x16  2 Mg 1.97-2.07
H  0.2500  0.1134  0.7500 x8  2 Mg 1.96